1.
{"formula": "SrAcPr2", "functional": "GGA-PBE", "state": "relaxed", "lattice": [[5.469, 0.000, 0.000], [0.000, 5.469, 0.000], [0.000, 0.000, 5.519]], "species": ["Sr", "Ac", "Pr", "Pr"], "frac_coords": [[0.000, 0.000, 0.000], [0.500, 0.500, 0.000], [0.000, 0.500, 0.500], [0.500, 0.000, 0.500]], "volume_a3_per_fu": 165, "formation_energy_ev_per_atom": 0.118, "polymorph_energy_mev_per_atom": 38, "dos_at_fermi_per_ev_fu": 7.59, "energy_ev_per_atom": -3.72, "spacegroup": "No. 123", "crystal_system": "tetragonal"}

---

2.
{"formula": "SrAcTbPr", "functional": "GGA-PBE", "state": "relaxed", "lattice": [[8.654, 0.000, 0.000], [0.000, 8.654, 0.000], [0.000, 0.000, 8.654]], "species": ["Sr", "Sr", "Sr", "Sr", "Ac", "Ac", "Ac", "Ac", "Tb", "Tb", "Tb", "Tb", "Pr", "Pr", "Pr", "Pr"], "frac_coords": [[0.000, 0.000, 0.000], [0.000, 0.500, 0.500], [0.500, 0.000, 0.500], [0.500, 0.500, 0.000], [0.250, 0.250, 0.750], [0.250, 0.750, 0.250], [0.750, 0.250, 0.250], [0.750, 0.750, 0.750], [0.000, 0.000, 0.500], [0.000, 0.500, 0.000], [0.500, 0.000, 0.000], [0.500, 0.500, 0.500], [0.250, 0.250, 0.250], [0.250, 0.750, 0.750], [0.750, 0.250, 0.750], [0.750, 0.750, 0.250]], "volume_a3_per_fu": 162, "formation_energy_ev_per_atom": 0.183, "dos_at_fermi_per_ev_fu": 6.58, "energy_ev_per_atom": -3.62, "spacegroup": "No. 216", "crystal_system": "cubic"}

---

3.
{"formula": "Sr3AcPr2Te6", "functional": "GGA-PBE", "state": "relaxed", "lattice": [[4.006, -6.931, 0.000], [4.006, 6.931, 0.000], [-2.674, 0.000, 7.739]], "species": ["Sr", "Sr", "Sr", "Ac", "Pr", "Pr", "Te", "Te", "Te", "Te", "Te", "Te"], "frac_coords": [[0.000, 0.000, 0.000], [0.335, 0.665, 0.000], [0.665, 0.335, 0.000], [0.500, 0.500, 0.500], [0.167, 0.833, 0.500], [0.833, 0.167, 0.500], [0.078, 0.418, 0.253], [0.242, 0.242, 0.746], [0.418, 0.078, 0.253], [0.582, 0.922, 0.747], [0.758, 0.758, 0.254], [0.922, 0.582, 0.747]], "volume_a3_per_fu": 430, "dos_at_fermi_per_ev_fu": 5.46, "energy_ev_per_atom": -4.70, "spacegroup": "No. 12", "crystal_system": "monoclinic"}

---

4.
{"formula": "Sr2Ac3PrTe6", "functional": "GGA-PBE", "state": "relaxed", "lattice": [[4.055, -7.032, 0.000], [4.055, 7.032, 0.000], [-2.714, 0.000, 7.698]], "species": ["Sr", "Sr", "Ac", "Ac", "Ac", "Pr", "Te", "Te", "Te", "Te", "Te", "Te"], "frac_coords": [[0.166, 0.834, 0.000], [0.834, 0.166, 0.000], [0.000, 0.000, 0.500], [0.330, 0.670, 0.500], [0.670, 0.330, 0.500], [0.500, 0.500, 0.000], [0.090, 0.420, 0.760], [0.252, 0.252, 0.246], [0.420, 0.090, 0.760], [0.580, 0.910, 0.240], [0.748, 0.748, 0.754], [0.910, 0.580, 0.240]], "volume_a3_per_fu": 439, "dos_at_fermi_per_ev_fu": 6.54, "energy_ev_per_atom": -4.82, "spacegroup": "No. 12", "crystal_system": "monoclinic"}

---

5.
{"formula": "SrAc2PrTe5", "functional": "GGA-PBE", "state": "relaxed", "lattice": [[5.752, 0.000, 0.000], [0.000, 5.752, 0.000], [0.000, 0.000, 12.083]], "species": ["Sr", "Ac", "Ac", "Pr", "Te", "Te", "Te", "Te", "Te"], "frac_coords": [[0.000, 0.000, 0.000], [0.500, 0.500, 0.315], [0.500, 0.500, 0.685], [0.000, 0.000, 0.500], [0.000, 0.000, 0.250], [0.000, 0.000, 0.750], [0.000, 0.500, 0.500], [0.500, 0.000, 0.500], [0.500, 0.500, 0.000]], "volume_a3_per_fu": 400, "dos_at_fermi_per_ev_fu": 2.48, "energy_ev_per_atom": -4.44, "spacegroup": "No. 123", "crystal_system": "tetragonal"}

---

6.
{"formula": "Ac2PrTa", "functional": "GGA-PBE", "state": "relaxed", "lattice": [[3.502, 0.000, 0.000], [-1.751, 3.033, 0.000], [0.000, 0.000, 38.101]], "species": ["Ac", "Ac", "Ac", "Ac", "Ac", "Ac", "Pr", "Pr", "Pr", "Ta", "Ta", "Ta"], "frac_coords": [[0.000, 0.000, 0.080], [0.000, 0.000, 0.920], [0.333, 0.667, 0.587], [0.333, 0.667, 0.746], [0.667, 0.333, 0.254], [0.667, 0.333, 0.413], [0.000, 0.000, 0.500], [0.333, 0.667, 0.167], [0.667, 0.333, 0.833], [0.000, 0.000, 0.000], [0.333, 0.667, 0.667], [0.667, 0.333, 0.333]], "volume_a3_per_fu": 135, "formation_energy_ev_per_atom": 0.885, "dos_at_fermi_per_ev_fu": 6.68, "energy_ev_per_atom": -5.33, "spacegroup": "No. 166", "crystal_system": "trigonal"}

---

7.
{"formula": "AcTbPr6", "functional": "GGA-PBE", "state": "relaxed", "lattice": [[5.273, 0.000, 0.000], [0.000, 5.273, 0.000], [0.000, 0.000, 10.550]], "species": ["Ac", "Tb", "Pr", "Pr", "Pr", "Pr", "Pr", "Pr"], "frac_coords": [[0.000, 0.000, 0.000], [0.000, 0.000, 0.500], [0.000, 0.500, 0.257], [0.000, 0.500, 0.743], [0.500, 0.000, 0.257], [0.500, 0.000, 0.743], [0.500, 0.500, 0.000], [0.500, 0.500, 0.500]], "volume_a3_per_fu": 293, "formation_energy_ev_per_atom": 0.021, "dos_at_fermi_per_ev_fu": 14.20, "energy_ev_per_atom": -4.66, "spacegroup": "No. 123", "crystal_system": "tetragonal"}

---

8.
{"formula": "AcTb5Pr6", "functional": "GGA-PBE", "state": "relaxed", "lattice": [[2.597, -7.818, 0.000], [2.597, 7.818, 0.000], [0.000, 0.000, 10.371]], "species": ["Ac", "Tb", "Tb", "Tb", "Tb", "Tb", "Pr", "Pr", "Pr", "Pr", "Pr", "Pr"], "frac_coords": [[0.000, 0.000, 0.000], [0.000, 0.000, 0.500], [0.329, 0.671, 0.000], [0.333, 0.667, 0.500], [0.667, 0.333, 0.500], [0.671, 0.329, 0.000], [0.168, 0.832, 0.254], [0.168, 0.832, 0.746], [0.500, 0.500, 0.257], [0.500, 0.500, 0.743], [0.832, 0.168, 0.254], [0.832, 0.168, 0.746]], "volume_a3_per_fu": 421, "formation_energy_ev_per_atom": 0.025, "dos_at_fermi_per_ev_fu": 18.54, "energy_ev_per_atom": -4.64, "spacegroup": "No. 65", "crystal_system": "orthorhombic"}

---

9.
{"formula": "AcTb2Pr", "functional": "GGA-PBE", "state": "relaxed", "lattice": [[3.736, 0.000, 0.000], [-1.868, 3.235, 0.000], [0.000, 0.000, 35.583]], "species": ["Ac", "Ac", "Ac", "Tb", "Tb", "Tb", "Tb", "Tb", "Tb", "Pr", "Pr", "Pr"], "frac_coords": [[0.000, 0.000, 0.000], [0.333, 0.667, 0.667], [0.667, 0.333, 0.333], [0.000, 0.000, 0.248], [0.000, 0.000, 0.752], [0.333, 0.667, 0.418], [0.333, 0.667, 0.915], [0.667, 0.333, 0.085], [0.667, 0.333, 0.582], [0.000, 0.000, 0.500], [0.333, 0.667, 0.167], [0.667, 0.333, 0.833]], "volume_a3_per_fu": 143, "formation_energy_ev_per_atom": 0.037, "polymorph_energy_mev_per_atom": 0, "dos_at_fermi_per_ev_fu": 4.60, "energy_ev_per_atom": -4.50, "spacegroup": "No. 166", "crystal_system": "trigonal"}

---

10.
{"formula": "Ac5TbPr2", "functional": "GGA-PBE", "state": "relaxed", "lattice": [[7.681, 0.000, 0.000], [0.000, 15.389, 0.000], [0.000, 0.000, 5.537]], "species": ["Ac", "Ac", "Ac", "Ac", "Ac", "Ac", "Ac", "Ac", "Ac", "Ac", "Tb", "Tb", "Pr", "Pr", "Pr", "Pr"], "frac_coords": [[0.000, 0.000, 0.000], [0.010, 0.254, 0.000], [0.241, 0.621, 0.500], [0.259, 0.121, 0.500], [0.490, 0.754, 0.000], [0.500, 0.500, 0.000], [0.510, 0.246, 0.000], [0.741, 0.879, 0.500], [0.759, 0.379, 0.500], [0.990, 0.746, 0.000], [0.000, 0.500, 0.000], [0.500, 0.000, 0.000], [0.244, 0.876, 0.500], [0.256, 0.376, 0.500], [0.744, 0.624, 0.500], [0.756, 0.124, 0.500]], "volume_a3_per_fu": 327, "formation_energy_ev_per_atom": 0.032, "dos_at_fermi_per_ev_fu": 13.84, "energy_ev_per_atom": -4.31, "spacegroup": "No. 55", "crystal_system": "orthorhombic"}

---

11.
{"formula": "Ac8TbPr3", "functional": "GGA-PBE", "state": "relaxed", "lattice": [[-4.678, 4.678, 6.444], [4.678, -4.678, 6.444], [4.678, 4.678, -6.444]], "species": ["Ac", "Ac", "Ac", "Ac", "Ac", "Ac", "Ac", "Ac", "Tb", "Pr", "Pr", "Pr"], "frac_coords": [[0.113, 0.113, 0.738], [0.238, 0.238, 0.495], [0.256, 0.762, 0.000], [0.375, 0.375, 0.262], [0.625, 0.887, 0.000], [0.744, 0.744, 0.505], [0.762, 0.256, 0.000], [0.887, 0.625, 0.000], [0.000, 0.000, 0.000], [0.250, 0.750, 0.500], [0.500, 0.500, 0.000], [0.750, 0.250, 0.500]], "volume_a3_per_fu": 564, "formation_energy_ev_per_atom": 0.574, "dos_at_fermi_per_ev_fu": 20.34, "energy_ev_per_atom": -3.75, "spacegroup": "No. 121", "crystal_system": "tetragonal"}

---

12.
{"formula": "Ac7Tb2Pr2", "functional": "GGA-PBE", "state": "relaxed", "lattice": [[6.112, 0.000, 0.000], [-0.009, 7.403, 0.000], [-0.008, -0.497, 10.354]], "species": ["Ac", "Ac", "Ac", "Ac", "Ac", "Ac", "Ac", "Tb", "Tb", "Pr", "Pr"], "frac_coords": [[0.000, 0.000, 0.000], [0.000, 0.481, 0.831], [0.000, 0.519, 0.169], [0.500, 0.003, 0.700], [0.500, 0.493, 0.662], [0.500, 0.507, 0.338], [0.500, 0.997, 0.300], [0.500, 0.281, 0.004], [0.500, 0.719, 0.996], [0.000, 0.256, 0.486], [0.000, 0.744, 0.514]], "volume_a3_per_fu": 468, "formation_energy_ev_per_atom": 0.167, "polymorph_energy_mev_per_atom": 70, "dos_at_fermi_per_ev_fu": 14.33, "energy_ev_per_atom": -4.16, "spacegroup": "No. 2", "crystal_system": "triclinic"}

---

13.
{"formula": "AcTbPr", "functional": "GGA-PBE", "state": "relaxed", "lattice": [[5.963, 0.000, 0.000], [-2.982, 5.164, 0.000], [0.000, 0.000, 3.644]], "species": ["Ac", "Tb", "Pr"], "frac_coords": [[0.000, 0.000, 0.000], [0.333, 0.667, 0.003], [0.667, 0.333, 0.501]], "volume_a3_per_fu": 112, "formation_energy_ev_per_atom": 0.110, "polymorph_energy_mev_per_atom": 72, "dos_at_fermi_per_ev_fu": 4.47, "energy_ev_per_atom": -4.40, "spacegroup": "No. 156", "crystal_system": "trigonal"}

---

14.
{"formula": "Ac3TbPr2", "functional": "GGA-PBE", "state": "relaxed", "lattice": [[4.805, -5.365, 0.000], [4.805, 5.365, 0.000], [-1.878, 0.000, 9.291]], "species": ["Ac", "Ac", "Ac", "Ac", "Ac", "Ac", "Tb", "Tb", "Pr", "Pr", "Pr", "Pr"], "frac_coords": [[0.058, 0.942, 0.750], [0.203, 0.367, 0.021], [0.367, 0.203, 0.521], [0.633, 0.797, 0.479], [0.797, 0.633, 0.979], [0.942, 0.058, 0.250], [0.381, 0.619, 0.750], [0.619, 0.381, 0.250], [0.116, 0.616, 0.382], [0.384, 0.884, 0.118], [0.616, 0.116, 0.882], [0.884, 0.384, 0.618]], "volume_a3_per_fu": 240, "formation_energy_ev_per_atom": 0.108, "polymorph_energy_mev_per_atom": 53, "dos_at_fermi_per_ev_fu": 8.29, "energy_ev_per_atom": -4.31, "spacegroup": "No. 15", "crystal_system": "monoclinic"}

---

15.
{"formula": "AcTb2Pr3", "functional": "GGA-PBE", "state": "relaxed", "lattice": [[5.232, -3.725, 0.000], [5.232, 3.725, 0.000], [-5.227, 0.000, 11.126]], "species": ["Ac", "Ac", "Tb", "Tb", "Tb", "Tb", "Pr", "Pr", "Pr", "Pr", "Pr", "Pr"], "frac_coords": [[0.126, 0.874, 0.750], [0.874, 0.126, 0.250], [0.041, 0.290, 0.582], [0.290, 0.041, 0.082], [0.710, 0.959, 0.918], [0.959, 0.710, 0.418], [0.210, 0.459, 0.919], [0.375, 0.625, 0.250], [0.459, 0.210, 0.419], [0.541, 0.790, 0.581], [0.625, 0.375, 0.750], [0.790, 0.541, 0.081]], "volume_a3_per_fu": 217, "formation_energy_ev_per_atom": 0.034, "polymorph_energy_mev_per_atom": 0, "dos_at_fermi_per_ev_fu": 10.24, "energy_ev_per_atom": -4.58, "spacegroup": "No. 15", "crystal_system": "monoclinic"}

---

16.
{"formula": "Ac2TbPr9", "functional": "GGA-PBE", "state": "relaxed", "lattice": [[6.219, 0.000, 0.000], [0.000, 6.219, 0.000], [0.000, 0.000, 11.529]], "species": ["Ac", "Ac", "Tb", "Pr", "Pr", "Pr", "Pr", "Pr", "Pr", "Pr", "Pr", "Pr"], "frac_coords": [[0.000, 0.000, 0.170], [0.000, 0.000, 0.830], [0.000, 0.000, 0.500], [0.000, 0.500, 0.000], [0.000, 0.500, 0.342], [0.000, 0.500, 0.658], [0.500, 0.000, 0.000], [0.500, 0.000, 0.342], [0.500, 0.000, 0.658], [0.500, 0.500, 0.163], [0.500, 0.500, 0.500], [0.500, 0.500, 0.837]], "volume_a3_per_fu": 446, "formation_energy_ev_per_atom": 0.110, "dos_at_fermi_per_ev_fu": 26.73, "energy_ev_per_atom": -4.55, "spacegroup": "No. 123", "crystal_system": "tetragonal"}

---

17.
{"formula": "Ac8Tb3Pr", "functional": "GGA-PBE", "state": "relaxed", "lattice": [[9.203, -3.055, 0.000], [9.203, 3.055, 0.000], [-6.139, 0.000, 8.741]], "species": ["Ac", "Ac", "Ac", "Ac", "Ac", "Ac", "Ac", "Ac", "Tb", "Tb", "Tb", "Pr"], "frac_coords": [[0.000, 0.000, 0.000], [0.003, 0.003, 0.660], [0.254, 0.254, 0.929], [0.371, 0.371, 0.692], [0.508, 0.508, 0.190], [0.627, 0.627, 0.966], [0.740, 0.740, 0.725], [0.878, 0.878, 0.222], [0.252, 0.252, 0.261], [0.494, 0.494, 0.499], [0.752, 0.752, 0.407], [0.126, 0.126, 0.449]], "volume_a3_per_fu": 491, "formation_energy_ev_per_atom": 0.093, "dos_at_fermi_per_ev_fu": 18.82, "energy_ev_per_atom": -4.20, "spacegroup": "No. 8", "crystal_system": "monoclinic"}

---

18.
{"formula": "AcTb6Pr3", "functional": "GGA-PBE", "state": "relaxed", "lattice": [[5.828, -3.326, 0.000], [5.828, 3.326, 0.000], [-4.247, 0.000, 9.082]], "species": ["Ac", "Tb", "Tb", "Tb", "Tb", "Tb", "Tb", "Pr", "Pr", "Pr"], "frac_coords": [[0.000, 0.000, 0.000], [0.068, 0.558, 0.683], [0.364, 0.364, 0.082], [0.442, 0.932, 0.317], [0.558, 0.068, 0.683], [0.636, 0.636, 0.918], [0.932, 0.442, 0.317], [0.069, 0.069, 0.696], [0.500, 0.500, 0.500], [0.931, 0.931, 0.304]], "volume_a3_per_fu": 352, "formation_energy_ev_per_atom": 0.229, "polymorph_energy_mev_per_atom": 96, "dos_at_fermi_per_ev_fu": 18.61, "energy_ev_per_atom": -4.39, "spacegroup": "No. 12", "crystal_system": "monoclinic"}

---

19.
{"formula": "AcTbPr2", "functional": "GGA-PBE", "state": "relaxed", "lattice": [[5.272, 0.000, 0.000], [0.000, 5.272, 0.000], [0.000, 0.000, 5.315]], "species": ["Ac", "Tb", "Pr", "Pr"], "frac_coords": [[0.000, 0.000, 0.000], [0.500, 0.500, 0.000], [0.000, 0.500, 0.500], [0.500, 0.000, 0.500]], "volume_a3_per_fu": 148, "formation_energy_ev_per_atom": 0.026, "polymorph_energy_mev_per_atom": 0, "dos_at_fermi_per_ev_fu": 6.61, "energy_ev_per_atom": -4.55, "spacegroup": "No. 123", "crystal_system": "tetragonal"}

---

20.
{"formula": "Ac3TbPr", "functional": "GGA-PBE", "state": "relaxed", "lattice": [[6.229, -3.767, 0.000], [6.229, 3.767, 0.000], [-3.114, 0.000, 8.830]], "species": ["Ac", "Ac", "Ac", "Ac", "Ac", "Ac", "Tb", "Tb", "Pr", "Pr"], "frac_coords": [[0.095, 0.596, 0.882], [0.249, 0.249, 0.501], [0.404, 0.905, 0.118], [0.596, 0.095, 0.882], [0.751, 0.751, 0.499], [0.905, 0.404, 0.118], [0.057, 0.057, 0.728], [0.943, 0.943, 0.272], [0.443, 0.443, 0.272], [0.557, 0.557, 0.728]], "volume_a3_per_fu": 207, "formation_energy_ev_per_atom": 0.176, "polymorph_energy_mev_per_atom": 133, "dos_at_fermi_per_ev_fu": 9.83, "energy_ev_per_atom": -4.17, "spacegroup": "No. 12", "crystal_system": "monoclinic"}